CrGaHg2O | Alexandria via LeMat-Bulk | meta-GGA SCAN | PBEsol geometry; DOS(E_F) = 0.410 states/eV/atom; formation energy without anion corrections = 1.2 kJ per mole of atoms; crystal system = tetragonal; uncorrected energy = -35.446 eV per atom
1.0
5.330 0.000 0.000
0.000 5.330 0.000
0.000 0.000 3.559
Cr Ga Hg O
1 1 2 1
Cartesian
0.000 0.000 0.000 Cr
2.665 2.665 1.779 Ga
0.000 2.665 1.779 Hg
2.665 0.000 1.779 Hg
2.665 2.665 0.000 O

=====

BaTaSb2I | Alexandria via LeMat-Bulk | meta-GGA SCAN | PBEsol geometry; DOS(E_F) = 0.569 states/eV/atom; formation energy without anion corrections = -31.3 kJ per mole of atoms; crystal system = tetragonal; uncorrected energy = -43.804 eV per atom
1.0
5.327 0.000 0.000
0.000 5.327 0.000
0.000 0.000 5.767
Ba Ta Sb I
1 1 2 1
Cartesian
0.000 0.000 0.000 Ba
2.664 2.664 2.884 Ta
0.000 2.664 2.884 Sb
2.664 0.000 2.884 Sb
2.664 2.664 0.000 I

=====

Ca2CuSi | Alexandria via LeMat-Bulk | meta-GGA SCAN | PBEsol geometry; DOS(E_F) = 0.784 states/eV/atom; formation energy without anion corrections = -35.4 kJ per mole of atoms; crystal system = trigonal; uncorrected energy = -11.503 eV per atom
1.0
2.033 1.174 7.345
-2.033 1.174 7.345
0.000 -2.348 7.345
Ca Cu Si
2 1 1
Cartesian
0.000 0.000 0.000 Ca
0.000 0.000 3.825 Ca
0.000 0.000 9.254 Cu
0.000 0.000 16.610 Si

=====

Ag3MoRu | Alexandria via LeMat-Bulk | meta-GGA SCAN | PBEsol geometry; DOS(E_F) = 0.493 states/eV/atom; crystal system = cubic; DFT formation energy = 1.84 eV/atom; uncorrected energy = -30.925 eV per atom
1.0
4.859 0.000 0.000
0.000 4.859 0.000
0.000 0.000 4.859
Ag Mo Ru
3 1 1
Cartesian
0.000 0.000 2.430 Ag
0.000 2.430 0.000 Ag
2.430 0.000 0.000 Ag
2.430 2.430 2.430 Mo
0.000 0.000 0.000 Ru

=====

NbBOsF2 | Alexandria via LeMat-Bulk | meta-GGA SCAN | PBEsol geometry; DOS(E_F) = 0.360 states/eV/atom; formation energy without anion corrections = 25.2 kJ per mole of atoms; crystal system = tetragonal; uncorrected energy = -23.643 eV per atom
1.0
3.537 0.000 0.000
0.000 3.537 0.000
0.000 0.000 5.268
Nb B Os F
1 1 1 2
Cartesian
0.000 0.000 0.000 Nb
0.000 0.000 2.634 B
1.768 1.768 0.000 Os
0.000 1.768 2.634 F
1.768 0.000 2.634 F

=====

VP2O7 | Alexandria via LeMat-Bulk | meta-GGA SCAN | PBEsol geometry; energy relative to the lowest polymorph listed for this composition = 0.0000 eV per atom; formation energy without anion corrections = -239.7 kJ per mole of atoms; crystal system = monoclinic; uncorrected energy = -10.675 eV per atom
1.0
4.807 0.000 0.000
0.000 7.909 0.000
-1.834 0.000 6.707
V P O
2 4 14
Cartesian
0.612 0.000 1.545 V
2.362 3.955 5.163 V
0.042 5.848 4.113 P
1.864 2.485 0.009 P
1.110 6.440 6.699 P
2.932 1.893 2.595 P
-0.483 1.447 2.173 O
-1.064 3.480 6.365 O
-0.024 6.702 2.863 O
1.335 1.059 0.127 O
1.754 6.500 0.946 O
0.604 6.855 5.234 O
1.006 4.661 4.011 O
1.968 0.706 2.696 O
2.369 2.900 1.473 O
1.219 2.545 5.761 O
1.639 5.014 6.581 O
2.998 2.747 3.844 O
4.037 7.435 0.342 O
3.456 5.402 4.535 O

=====

CaLaHg2 | Alexandria via LeMat-Bulk | meta-GGA SCAN | PBEsol geometry; DOS(E_F) = 0.481 states/eV/atom; energy relative to the lowest polymorph listed for this composition = 0.0271 eV per atom; crystal system = tetragonal; DFT formation energy = -0.74 eV/atom; uncorrected energy = -48.020 eV per atom
1.0
5.390 0.000 0.000
0.000 5.390 0.000
0.000 0.000 3.727
Ca La Hg
1 1 2
Cartesian
0.000 0.000 0.000 Ca
2.695 2.695 0.000 La
0.000 2.695 1.864 Hg
2.695 0.000 1.864 Hg

=====

BaMnZnBi2 | Alexandria via LeMat-Bulk | meta-GGA SCAN | PBEsol geometry; DOS(E_F) = 0.448 states/eV/atom; crystal system = tetragonal; DFT formation energy = 0.10 eV/atom; uncorrected energy = -45.592 eV per atom
1.0
5.146 0.000 0.000
0.000 5.146 0.000
0.000 0.000 5.891
Ba Mn Zn Bi
1 1 1 2
Cartesian
0.000 0.000 0.000 Ba
0.000 0.000 2.945 Mn
2.573 2.573 0.000 Zn
0.000 2.573 2.945 Bi
2.573 0.000 2.945 Bi

=====

K2OsSe | Alexandria via LeMat-Bulk | meta-GGA SCAN | PBEsol geometry; DOS(E_F) = 0.499 states/eV/atom; formation energy without anion corrections = 60.0 kJ per mole of atoms; crystal system = orthorhombic; uncorrected energy = -26.532 eV per atom
1.0
2.946 -5.148 0.000
2.946 5.148 0.000
0.000 0.000 2.750
K Os Se
2 1 1
Cartesian
1.473 2.574 0.000 K
1.473 -2.574 0.000 K
0.000 0.000 1.375 Os
2.946 0.000 1.375 Se

=====

Y2TcGe2 | Alexandria via LeMat-Bulk | meta-GGA SCAN | PBEsol geometry; DOS(E_F) = 0.465 states/eV/atom; crystal system = tetragonal; DFT formation energy = -0.74 eV/atom; uncorrected energy = -26.529 eV per atom
1.0
6.845 0.000 0.000
0.000 6.845 0.000
0.000 0.000 4.159
Y Tc Ge
4 2 4
Cartesian
1.209 2.214 0.000 Y
2.214 5.636 0.000 Y
4.631 1.209 0.000 Y
5.636 4.631 0.000 Y
0.000 0.000 2.080 Tc
3.422 3.422 2.080 Tc
0.902 4.325 2.080 Ge
2.520 0.902 2.080 Ge
4.325 5.942 2.080 Ge
5.942 2.520 2.080 Ge

=====

Ag2PW | Alexandria via LeMat-Bulk | meta-GGA SCAN | PBEsol geometry; DOS(E_F) = 0.529 states/eV/atom; crystal system = monoclinic; DFT formation energy = 0.60 eV/atom; uncorrected energy = -35.110 eV per atom
1.0
2.763 0.000 0.000
0.000 4.681 0.000
-1.242 0.000 4.812
Ag P W
2 1 1
Cartesian
0.093 0.000 1.253 Ag
1.428 0.000 3.559 Ag
0.761 2.340 2.406 P
1.381 2.340 0.000 W

=====

CrFe2Ag | Alexandria via LeMat-Bulk | meta-GGA SCAN | PBEsol geometry; DOS(E_F) = 0.665 states/eV/atom; energy relative to the lowest polymorph listed for this composition = 0.0279 eV per atom; crystal system = tetragonal; DFT formation energy = 0.31 eV/atom; uncorrected energy = -21.189 eV per atom
1.0
2.594 0.000 0.000
0.000 2.594 0.000
0.000 0.000 7.345
Cr Fe Ag
1 2 1
Cartesian
0.000 0.000 0.000 Cr
1.297 1.297 1.616 Fe
1.297 1.297 5.729 Fe
0.000 0.000 3.672 Ag

=====

Be3Co5 | Alexandria via LeMat-Bulk | meta-GGA SCAN | PBEsol geometry; DOS(E_F) = 0.572 states/eV/atom; energy relative to the lowest polymorph listed for this composition = 0.0238 eV per atom; crystal system = tetragonal; DFT formation energy = -0.15 eV/atom; uncorrected energy = -12.594 eV per atom
1.0
-4.139 4.139 2.112
4.139 -4.139 2.112
4.139 4.139 -2.112
Be Co
6 10
Cartesian
5.554 1.415 0.000 Be
0.000 0.000 1.056 Be
1.415 2.723 0.000 Be
2.723 1.415 2.112 Be
0.000 0.000 3.168 Be
-1.415 2.723 2.112 Be
1.856 0.605 0.000 Co
3.533 -2.283 2.112 Co
4.139 0.000 1.056 Co
3.533 2.283 0.000 Co
1.856 -0.605 2.112 Co
2.283 4.744 0.000 Co
0.605 1.856 2.112 Co
0.000 4.139 1.056 Co
0.605 6.421 0.000 Co
2.283 3.533 2.112 Co

=====

InAg2Ir | Alexandria via LeMat-Bulk | meta-GGA SCAN | PBEsol geometry; DOS(E_F) = 0.362 states/eV/atom; crystal system = orthorhombic; DFT formation energy = 0.13 eV/atom; uncorrected energy = -41.680 eV per atom
1.0
-1.517 2.281 4.845
1.517 -2.281 4.845
1.517 2.281 -4.845
In Ag Ir
1 2 1
Cartesian
0.000 0.000 0.000 In
1.517 0.000 2.478 Ag
0.000 2.281 2.367 Ag
0.000 0.000 4.845 Ir

=====

SrMn2Ir | Alexandria via LeMat-Bulk | meta-GGA SCAN | PBEsol geometry; DOS(E_F) = 0.839 states/eV/atom; crystal system = trigonal; DFT formation energy = 0.49 eV/atom; uncorrected energy = -31.980 eV per atom
1.0
1.472 0.850 9.521
-1.472 0.850 9.521
0.000 -1.700 9.521
Sr Mn Ir
1 2 1
Cartesian
0.000 0.000 0.000 Sr
0.000 0.000 6.736 Mn
0.000 0.000 21.827 Mn
0.000 0.000 14.281 Ir

=====

LaRe3Sn | Alexandria via LeMat-Bulk | meta-GGA SCAN | PBEsol geometry; DOS(E_F) = 0.980 states/eV/atom; crystal system = cubic; DFT formation energy = 3.05 eV/atom; uncorrected energy = -55.414 eV per atom
1.0
4.832 0.000 0.000
0.000 4.832 0.000
0.000 0.000 4.832
La Re Sn
1 3 1
Cartesian
0.000 0.000 0.000 La
0.000 0.000 2.416 Re
0.000 2.416 0.000 Re
2.416 0.000 0.000 Re
2.416 2.416 2.416 Sn

=====

Li2P2WO8 | Alexandria via LeMat-Bulk | meta-GGA SCAN | PBEsol geometry; energy relative to the lowest polymorph listed for this composition = 0.0000 eV per atom; formation energy without anion corrections = -227.2 kJ per mole of atoms; crystal system = monoclinic; uncorrected energy = -13.517 eV per atom
1.0
5.101 0.000 0.000
0.000 7.881 0.000
-4.727 0.000 7.617
Li P W O
4 4 2 16
Cartesian
-1.886 1.022 3.129 Li
-4.250 2.919 6.937 Li
4.624 4.962 0.679 Li
2.260 6.859 4.488 Li
-2.063 1.526 6.087 P
0.300 2.414 2.278 P
0.073 5.467 5.338 P
2.437 6.355 1.530 P
0.000 0.000 0.000 W
-2.364 3.940 3.808 W
-2.036 0.551 4.955 O
0.328 3.390 1.147 O
-0.059 0.960 1.798 O
-2.423 2.981 5.607 O
-3.143 1.212 7.158 O
-0.780 2.729 3.349 O
-1.311 5.476 4.596 O
1.053 6.345 0.788 O
-0.679 1.536 6.829 O
1.685 2.405 3.021 O
1.154 5.152 4.267 O
3.517 6.669 0.459 O
2.796 4.900 2.010 O
0.433 6.921 5.818 O
0.046 4.491 6.470 O
2.410 7.330 2.661 O

=====

Nb3ReI | Alexandria via LeMat-Bulk | meta-GGA SCAN | PBEsol geometry; DOS(E_F) = 1.153 states/eV/atom; formation energy without anion corrections = 115.5 kJ per mole of atoms; crystal system = cubic; uncorrected energy = -40.249 eV per atom
1.0
4.889 0.000 0.000
0.000 4.889 0.000
0.000 0.000 4.889
Nb Re I
3 1 1
Cartesian
0.000 0.000 2.445 Nb
0.000 2.445 0.000 Nb
2.445 0.000 0.000 Nb
0.000 0.000 0.000 Re
2.445 2.445 2.445 I

=====

TlPtBr | Alexandria via LeMat-Bulk | meta-GGA SCAN | PBEsol geometry; DOS(E_F) = 0.604 states/eV/atom; energy relative to the lowest polymorph listed for this composition = 0.2151 eV per atom; formation energy without anion corrections = 21.8 kJ per mole of atoms; crystal system = orthorhombic; uncorrected energy = -53.778 eV per atom
1.0
0.000 2.797 5.600
2.174 0.000 5.600
2.174 2.797 0.000
Tl Pt Br
1 1 1
Cartesian
0.000 0.000 0.000 Tl
2.174 2.797 7.108 Pt
2.174 2.797 3.193 Br

=====

Li2Cd3 | Alexandria via LeMat-Bulk | meta-GGA SCAN | PBEsol geometry; DOS(E_F) = 0.184 states/eV/atom; energy relative to the lowest polymorph listed for this composition = 0.0000 eV per atom; crystal system = orthorhombic; DFT formation energy = -0.23 eV/atom; uncorrected energy = -19.436 eV per atom
1.0
0.000 7.009 2.648
4.912 0.000 2.648
4.912 7.009 0.000
Li Cd
4 6
Cartesian
2.754 0.709 1.324 Li
5.210 2.796 2.648 Li
2.157 6.300 1.324 Li
4.613 11.222 2.648 Li
4.912 7.009 0.254 Cd
2.456 3.505 1.578 Cd
4.484 5.551 2.820 Cd
5.340 8.467 2.820 Cd
7.796 9.055 4.144 Cd
6.940 11.972 4.144 Cd